A geometry-optimized MgNi10B3 structure, computed with GGA-PBE.

POSCAR file:
```
MgNi10B3
1.0
0.000 5.249 5.249
5.249 0.000 5.249
5.249 5.249 0.000
Mg Ni B
2 20 6
Cartesian
2.625 2.625 2.625
7.874 7.874 7.874
1.756 1.756 0.000
3.493 3.493 0.000
1.756 0.000 1.756
5.249 3.493 1.756
3.493 0.000 3.493
5.249 1.756 3.493
6.457 4.042 4.042
0.000 1.756 1.756
3.493 5.249 1.756
3.493 1.756 5.249
4.042 4.042 4.042
6.457 6.457 4.042
6.457 4.042 6.457
4.042 6.457 4.042
4.042 4.042 6.457
6.457 6.457 6.457
0.000 3.493 3.493
1.756 5.249 3.493
1.756 3.493 5.249
4.042 6.457 6.457
5.249 5.249 2.861
5.249 2.861 5.249
7.638 5.249 5.249
2.861 5.249 5.249
5.249 7.638 5.249
5.249 5.249 7.638
```

Output
Energy of formation ... -0.26 eV per atom
Size of the total moment ... 1.5 μB per cell
N(E_F) ... 36.98 states/eV per cell

A geometry-optimized Mg6NiB structure, computed with GGA-PBE.

POSCAR file:
```
Mg6NiB
1.0
4.054 0.000 0.000
0.000 4.113 4.310
0.000 -4.113 4.310
Mg Ni B
6 1 1
Cartesian
0.000 0.000 0.000
0.000 0.000 3.188
0.000 -1.447 6.069
0.000 1.447 6.069
2.027 -1.980 3.874
2.027 1.980 3.874
2.027 0.000 1.612
2.027 0.000 7.054
```

Output
Energy of formation ... 0.21 eV per atom
Energy above the most stable polymorph in this dataset ... 181 meV/atom
Size of the total moment ... 0.0 μB per cell
N(E_F) ... 3.31 states/eV per cell

A geometry-optimized MgNi22B6 structure, computed with GGA-PBE.

POSCAR file:
```
MgNi22B6
1.0
0.000 5.240 5.240
5.240 0.000 5.240
5.240 5.240 0.000
Mg Ni B
1 22 6
Cartesian
0.000 0.000 0.000
1.788 1.788 0.000
3.452 3.452 0.000
1.788 0.000 1.788
5.240 3.452 1.788
3.452 0.000 3.452
5.240 1.788 3.452
6.479 4.002 4.002
2.620 2.620 2.620
0.000 1.788 1.788
3.452 5.240 1.788
3.452 1.788 5.240
4.002 4.002 4.002
6.479 6.479 4.002
6.479 4.002 6.479
4.002 6.479 4.002
4.002 4.002 6.479
6.479 6.479 6.479
0.000 3.452 3.452
1.788 5.240 3.452
1.788 3.452 5.240
7.861 7.861 7.861
4.002 6.479 6.479
5.240 5.240 2.846
5.240 2.846 5.240
7.635 5.240 5.240
2.846 5.240 5.240
5.240 7.635 5.240
5.240 5.240 7.635
```

Output
Energy of formation ... -0.21 eV per atom
Size of the total moment ... 1.5 μB per cell
N(E_F) ... 34.89 states/eV per cell

A geometry-optimized Mg2NiB10 structure, computed with GGA-PBE.

POSCAR file:
```
Mg2NiB10
1.0
5.554 0.000 0.000
0.000 11.110 0.000
0.000 0.000 4.149
Mg Ni B
4 2 20
Cartesian
1.342 1.198 0.000
1.435 6.753 0.000
4.119 4.356 0.000
4.212 9.911 0.000
0.000 0.000 2.075
2.777 5.555 2.075
0.114 9.043 2.075
0.691 5.076 2.075
0.947 3.334 2.075
1.104 9.840 0.837
1.104 9.840 3.312
1.673 4.285 0.837
1.673 4.285 3.312
1.830 8.889 2.075
2.087 10.631 2.075
2.664 3.488 2.075
2.891 7.622 2.075
3.468 0.479 2.075
3.724 2.221 2.075
3.881 6.825 0.837
3.881 6.825 3.312
4.450 1.270 0.837
4.450 1.270 3.312
4.607 7.776 2.075
4.864 6.033 2.075
5.441 2.067 2.075
```

Output
Energy of formation ... -0.06 eV per atom
Size of the total moment ... 0.0 μB per cell
N(E_F) ... 1.94 states/eV per cell

A geometry-optimized MgNi12B5 structure, computed with GGA-PBE.

POSCAR file:
```
MgNi12B5
1.0
-3.361 3.380 3.791
3.361 -3.380 3.791
3.361 3.380 -3.791
Mg Ni B
1 12 5
Cartesian
0.000 0.000 0.000
3.361 2.120 -1.667
2.106 0.000 1.367
4.616 0.000 1.367
1.462 2.153 0.000
1.898 -1.227 3.791
0.000 1.260 2.124
3.361 2.120 1.667
1.462 4.607 0.000
1.898 1.227 3.791
-1.255 3.380 2.424
1.255 3.380 2.424
0.000 1.260 5.458
3.361 0.976 0.000
3.361 0.000 2.907
0.000 0.000 3.791
0.000 3.380 0.884
0.000 2.404 3.791
```

Output
Energy of formation ... -0.23 eV per atom
Size of the total moment ... 0.0 μB per cell
N(E_F) ... 9.44 states/eV per cell

Q: Which calculated total energy values were calculated for the entries above? A: -5.931; -2.542; -6.033; -5.882; -6.023, in eV per atom.